Record 1
A relaxed Pm2YSe crystal. Source: the Alexandria database, functional PBE.

The energy relative to the elements, uncorrected is -808 meV/atom. The magnetization comes out at 0.702 μB per cell. As for the energy above the lowest structure with this stoichiometry: 0.0 kJ per mole of atoms. The density of states at the Fermi level is 3.0 states/eV per cell. The total energy comes out at -22.7 eV per formula unit.

abc: 3.900 3.900 9.851
angles: 78.58 78.58 60.00
Each line ends with the local moment (μB).
Sites, in units of the cell vectors:
Se (0.667, 0.667, 0.999)  0.00
Pm (0.268, 0.268, 0.196)  0.04
Pm (0.065, 0.065, 0.804)  0.07
Y (0.500, 0.500, 0.501)  0.19



Record 2
A relaxed Ca4AlZn2 crystal. Source: the Alexandria database, functional PBE.

The magnetization comes out at 0.000 μB per cell. The energy of formation from the pure elements comes out at -165 meV per atom. The density of states at the Fermi level is 4.4 states/eV per cell. The total energy comes out at -15.5 eV per formula unit.

abc: 5.191 5.191 9.031
angles: 73.30 73.30 60.00
Sites, in units of the cell vectors:
Ca (0.126, 0.126, 0.622)
Ca (0.378, 0.378, 0.867)
Ca (0.622, 0.622, 0.133)
Ca (0.874, 0.874, 0.378)
Zn (0.746, 0.746, 0.763)
Zn (0.254, 0.254, 0.237)
Al (0.000, 0.000, 0.000)



Record 3
A relaxed Dy2Y3Sc4 crystal. Source: the Alexandria database, functional PBE.

The magnetization comes out at 0.000 μB per cell. The energy of formation from the pure elements comes out at 175 meV per atom. As for the energy above the lowest structure with this stoichiometry: 5.7 kJ per mole of atoms. The density of states at the Fermi level is 29.9 states/eV per cell. The total energy comes out at -52.3 eV per formula unit.

abc: 9.394 9.394 6.242
angles: 79.12 79.12 79.90
Sites, in units of the cell vectors:
Y (0.829, 0.971, 0.950)
Y (0.029, 0.171, 0.550)
Y (0.551, 0.449, 0.750)
Y (0.171, 0.029, 0.050)
Y (0.449, 0.551, 0.250)
Y (0.971, 0.829, 0.450)
Sc (0.129, 0.497, 0.626)
Sc (0.871, 0.503, 0.374)
Sc (0.497, 0.129, 0.126)
Sc (0.297, 0.873, 0.514)
Sc (0.873, 0.297, 0.014)
Sc (0.503, 0.871, 0.874)
Sc (0.127, 0.703, 0.986)
Sc (0.703, 0.127, 0.486)
Dy (0.636, 0.799, 0.378)
Dy (0.201, 0.364, 0.122)
Dy (0.364, 0.201, 0.622)
Dy (0.799, 0.636, 0.878)



Record 4
A relaxed CuSiBr2 crystal. Source: the Alexandria database, functional PBE.

The energy relative to the elements, uncorrected is 475 meV/atom. The magnetization comes out at 0.000 μB per cell. As for the energy above the lowest structure with this stoichiometry: 55.3 kJ per mole of atoms. The density of states at the Fermi level is 1.8 states/eV per cell. The total energy comes out at -11.0 eV per formula unit.

abc: 4.905 4.905 4.905
angles: 60.00 60.00 60.00
Sites, in units of the cell vectors:
Cu (0.500, 0.500, 0.500)
Br (0.750, 0.750, 0.750)
Br (0.250, 0.250, 0.250)
Si (0.000, 0.000, 0.000)



Record 5
A relaxed Rb2CuI6Cl crystal. Source: the Alexandria database, functional PBE.

The energy relative to the elements, uncorrected is -586 meV/atom. The magnetization comes out at 0.000 μB per cell. The density of states at the Fermi level is 0.2 states/eV per cell. The total energy comes out at -23.0 eV per formula unit.

abc: 8.403 8.403 8.449
angles: 60.18 60.18 90.00
Sites, in units of the cell vectors:
Rb (0.750, 0.250, 0.500)
Rb (0.250, 0.750, 0.500)
I (0.277, 0.277, 0.447)
I (0.784, 0.784, 0.000)
I (0.784, 0.216, 0.000)
I (0.216, 0.784, 0.000)
I (0.723, 0.723, 0.553)
I (0.216, 0.216, 0.000)
Cu (0.000, 0.000, 0.000)
Cl (0.500, 0.500, 0.000)



Record 6
A relaxed La2NdSe4 crystal. Source: the Alexandria database, functional PBE.

The energy relative to the elements, uncorrected is -1940 meV/atom. The magnetization comes out at 0.000 μB per cell. As for the energy above the lowest structure with this stoichiometry: 0.0 kJ per mole of atoms. The density of states at the Fermi level is 4.4 states/eV per cell. The total energy comes out at -42.1 eV per formula unit.

abc: 8.537 8.530 8.530
angles: 60.98 59.97 59.97
Sites, in units of the cell vectors:
La (0.000, 0.000, 0.000)
La (0.000, 0.500, 0.500)
La (0.000, 0.000, 0.500)
La (0.500, 0.000, 0.500)
Nd (0.000, 0.500, 0.000)
Nd (0.500, 0.500, 0.000)
Se (0.254, 0.743, 0.749)
Se (0.758, 0.749, 0.249)
Se (0.254, 0.249, 0.243)
Se (0.245, 0.749, 0.249)
Se (0.755, 0.251, 0.751)
Se (0.746, 0.257, 0.251)
Se (0.242, 0.251, 0.751)
Se (0.746, 0.751, 0.757)